# Mg5Tc2 PBE relaxed
data_Mg5Tc2
_chemical_formula_sum 'Mg10 Tc4'
_cell_length_a 3.083
_cell_length_b 3.083
_cell_length_c 28.600
_cell_angle_alpha 90.00
_cell_angle_beta 90.00
_cell_angle_gamma 90.00
_space_group_name_H-M_alt 'I 4/m m m'
_space_group_IT_number 139
_space_group_name_Hall '-I 4 2'
loop_
_atom_site_label
_atom_site_type_symbol
_atom_site_fract_x
_atom_site_fract_y
_atom_site_fract_z
Mg1 Mg 0.000 0.000 0.000
Mg2 Mg 0.000 0.000 0.162
Mg3 Mg 0.000 0.000 0.419
Tc1 Tc 0.000 0.000 0.274
# D(E_F) (states/eV/atom): 0.37
# Volume (A^3/atom): 19.421
# Raw total energy (eV/atom): -4.088
# Energy of formation from the pure elements (eV per atom): 0.01

=====

# MgTc5 PBE relaxed
data_MgTc5
_chemical_formula_sum 'Mg2 Tc10'
_cell_length_a 4.502
_cell_length_b 13.233
_cell_length_c 3.030
_cell_angle_alpha 90.00
_cell_angle_beta 90.00
_cell_angle_gamma 90.00
_space_group_name_H-M_alt 'C m m m'
_space_group_IT_number 65
_space_group_name_Hall '-C 2 2'
loop_
_atom_site_label
_atom_site_type_symbol
_atom_site_fract_x
_atom_site_fract_y
_atom_site_fract_z
Mg1 Mg 0.000 0.000 0.000
Tc1 Tc 0.000 0.180 0.500
Tc2 Tc 0.000 0.344 0.000
Tc3 Tc 0.000 0.500 0.500
# D(E_F) (states/eV/atom): 0.92
# Volume (A^3/atom): 15.044
# Raw total energy (eV/atom): -8.702
# Energy of formation from the pure elements (eV per atom): 0.20

=====

# Mg4Tc3 PBE relaxed
data_Mg4Tc3
_chemical_formula_sum 'Mg8 Tc6'
_cell_length_a 3.073
_cell_length_b 3.073
_cell_length_c 25.965
_cell_angle_alpha 90.00
_cell_angle_beta 90.00
_cell_angle_gamma 90.00
_space_group_name_H-M_alt 'I 4/m m m'
_space_group_IT_number 139
_space_group_name_Hall '-I 4 2'
loop_
_atom_site_label
_atom_site_type_symbol
_atom_site_fract_x
_atom_site_fract_y
_atom_site_fract_z
Mg1 Mg 0.000 0.000 0.067
Mg2 Mg 0.000 0.000 0.346
Tc1 Tc 0.000 0.000 0.223
Tc2 Tc 0.000 0.000 0.500
# D(E_F) (states/eV/atom): 0.62
# Volume (A^3/atom): 17.514
# Raw total energy (eV/atom): -5.237
# Energy of formation from the pure elements (eV per atom): 0.12

=====

# MgTc7 PBE relaxed
data_MgTc7
_chemical_formula_sum 'Mg4 Tc28'
_cell_length_a 7.807
_cell_length_b 7.807
_cell_length_c 7.807
_cell_angle_alpha 90.00
_cell_angle_beta 90.00
_cell_angle_gamma 90.00
_space_group_name_H-M_alt 'F m -3 m'
_space_group_IT_number 225
_space_group_name_Hall '-F 4 2 3'
loop_
_atom_site_label
_atom_site_type_symbol
_atom_site_fract_x
_atom_site_fract_y
_atom_site_fract_z
Mg1 Mg 0.000 0.000 0.000
Tc1 Tc 0.000 0.000 0.500
Tc2 Tc 0.000 0.250 0.250
# D(E_F) (states/eV/atom): 1.59
# Volume (A^3/atom): 14.867
# Raw total energy (eV/atom): -9.002
# Energy of formation from the pure elements (eV per atom): 0.27

=====

# Mg3Tc4 PBE relaxed
data_Mg3Tc4
_chemical_formula_sum 'Mg3 Tc4'
_cell_length_a 5.0127
_cell_length_b 5.0127
_cell_length_c 4.9317
_cell_angle_alpha 90.00
_cell_angle_beta 90.00
_cell_angle_gamma 120.00
_space_group_name_H-M_alt 'P 6/m m m'
_space_group_IT_number 191
_space_group_name_Hall '-P 6 2'
loop_
_atom_site_label
_atom_site_type_symbol
_atom_site_fract_x
_atom_site_fract_y
_atom_site_fract_z
Mg1 Mg 0.0000 0.5000 0.0000
Tc1 Tc 0.0000 0.0000 0.2575
Tc2 Tc 0.3333 0.6667 0.5000
# D(E_F) (states/eV/atom): 0.74
# Volume (A^3/atom): 15.332
# Raw total energy (eV/atom): -6.190
# Energy of formation from the pure elements (eV per atom): 0.42

=====

# MgTc5 PBE relaxed
data_MgTc5
_chemical_formula_sum 'Mg1 Tc5'
_cell_length_a 5.0729
_cell_length_b 5.0729
_cell_length_c 4.5137
_cell_angle_alpha 90.00
_cell_angle_beta 90.00
_cell_angle_gamma 120.00
_space_group_name_H-M_alt 'P 6/m m m'
_space_group_IT_number 191
_space_group_name_Hall '-P 6 2'
loop_
_atom_site_label
_atom_site_type_symbol
_atom_site_fract_x
_atom_site_fract_y
_atom_site_fract_z
Mg1 Mg 0.0000 0.0000 0.0000
Tc1 Tc 0.0000 0.5000 0.5000
Tc2 Tc 0.3333 0.6667 0.0000
# D(E_F) (states/eV/atom): 0.93
# Volume (A^3/atom): 16.766
# Raw total energy (eV/atom): -8.531
# Energy of formation from the pure elements (eV per atom): 0.37

=====

# MgTc5 PBE relaxed
data_MgTc5
_chemical_formula_sum 'Mg2 Tc10'
_cell_length_a 4.335
_cell_length_b 9.398
_cell_length_c 4.368
_cell_angle_alpha 90.00
_cell_angle_beta 90.00
_cell_angle_gamma 90.00
_space_group_name_H-M_alt 'C m m m'
_space_group_IT_number 65
_space_group_name_Hall '-C 2 2'
loop_
_atom_site_label
_atom_site_type_symbol
_atom_site_fract_x
_atom_site_fract_y
_atom_site_fract_z
Mg1 Mg 0.000 0.000 0.000
Tc1 Tc 0.000 0.166 0.500
Tc2 Tc 0.000 0.327 0.000
Tc3 Tc 0.000 0.500 0.500
# D(E_F) (states/eV/atom): 0.96
# Volume (A^3/atom): 14.828
# Raw total energy (eV/atom): -8.764
# Energy of formation from the pure elements (eV per atom): 0.14

=====

# MgTc5 PBE relaxed
data_MgTc5
_chemical_formula_sum 'Mg2 Tc10'
_cell_length_a 4.468
_cell_length_b 2.762
_cell_length_c 14.532
_cell_angle_alpha 90.00
_cell_angle_beta 90.00
_cell_angle_gamma 90.00
_space_group_name_H-M_alt 'A m m 2'
_space_group_IT_number 38
_space_group_name_Hall 'A 2 -2'
loop_
_atom_site_label
_atom_site_type_symbol
_atom_site_fract_x
_atom_site_fract_y
_atom_site_fract_z
Mg1 Mg 0.000 0.000 0.000
Tc1 Tc 0.000 0.000 0.330
Tc2 Tc 0.000 0.000 0.673
Tc3 Tc 0.500 0.000 0.111
Tc4 Tc 0.500 0.000 0.438
Tc5 Tc 0.500 0.000 0.772
# D(E_F) (states/eV/atom): 1.01
# Volume (A^3/atom): 14.946
# Raw total energy (eV/atom): -8.781
# Energy of formation from the pure elements (eV per atom): 0.12

=====

Among the records above, which one has the highest volume?
Mg5Tc2